1.
The following is a DFT calculation (GGA-PBE) of an optimized crystal structure of TaMnSb2I.

Computed properties:
E_tot = -26.90 eV per cell
energy above the lowest structure with this stoichiometry = 0.00 eV per formula unit
size of the total moment = 5.4 μB per formula unit
Fermi-level density of states = 0.47 states/eV/atom
uncorrected formation energy = 0.78 eV/atom

a = 5.349 Å, b = 5.349 Å, c = 5.724 Å
α = 90.00°, β = 90.00°, γ = 90.00°
Site moments in Bohr magnetons follow the coordinates.
Sites, in units of the cell vectors:
I 0.000 0.000 0.500  0.06
Sb 0.000 0.500 0.000  -0.05
Sb 0.500 0.000 0.000  -0.05
Mn 0.500 0.500 0.500  4.61
Ta 0.000 0.000 0.000  0.23

***

2.
The following is a DFT calculation (GGA-PBE) of an optimized crystal structure of TaMnSbI2.

Computed properties:
E_tot = -24.36 eV per cell
energy above the lowest structure with this stoichiometry = 0.00 eV per formula unit
size of the total moment = 5.4 μB per formula unit
Fermi-level density of states = 0.83 states/eV/atom
uncorrected formation energy = 0.78 eV/atom

a = 5.548 Å, b = 5.548 Å, c = 5.472 Å
α = 90.00°, β = 90.00°, γ = 90.00°
Site moments in Bohr magnetons follow the coordinates.
Sites, in units of the cell vectors:
I 0.000 0.500 0.000  0.03
I 0.500 0.000 0.000  0.03
Sb 0.000 0.000 0.500  -0.01
Mn 0.500 0.500 0.500  4.62
Ta 0.000 0.000 0.000  0.07

***

3.
The following is a DFT calculation (GGA-PBE) of an optimized crystal structure of MnTcSb2I.

Computed properties:
E_tot = -23.76 eV per cell
energy above the lowest structure with this stoichiometry = 0.00 eV per formula unit
size of the total moment = 6.6 μB per formula unit
Fermi-level density of states = 1.00 states/eV/atom
uncorrected formation energy = 1.11 eV/atom

a = 5.067 Å, b = 5.067 Å, c = 5.461 Å
α = 90.00°, β = 90.00°, γ = 90.00°
Site moments in Bohr magnetons follow the coordinates.
Sites, in units of the cell vectors:
I 0.000 0.000 0.500  0.02
Sb 0.000 0.500 0.000  -0.17
Sb 0.500 0.000 0.000  -0.17
Mn 0.000 0.000 0.000  3.01
Tc 0.500 0.500 0.500  3.43

***

4.
The following is a DFT calculation (GGA-PBE) of an optimized crystal structure of MnTcSbI2.

Computed properties:
E_tot = -20.42 eV per cell
size of the total moment = 4.5 μB per formula unit
Fermi-level density of states = 1.60 states/eV/atom
uncorrected formation energy = 1.27 eV/atom

a = 5.375 Å, b = 5.375 Å, c = 4.926 Å
α = 90.00°, β = 90.00°, γ = 90.00°
Site moments in Bohr magnetons follow the coordinates.
Sites, in units of the cell vectors:
I 0.000 0.500 0.000  0.04
I 0.500 0.000 0.000  0.04
Sb 0.000 0.000 0.500  -0.07
Mn 0.000 0.000 0.000  0.14
Tc 0.500 0.500 0.500  3.68

***

5.
The following is a DFT calculation (GGA-PBE) of an optimized crystal structure of MnSbTe2I.

Computed properties:
E_tot = -15.08 eV per cell
energy above the lowest structure with this stoichiometry = 4.69 eV per formula unit
size of the total moment = 4.9 μB per formula unit
Fermi-level density of states = 1.10 states/eV/atom
uncorrected formation energy = 1.21 eV/atom

a = 5.762 Å, b = 5.762 Å, c = 5.892 Å
α = 90.00°, β = 90.00°, γ = 90.00°
Site moments in Bohr magnetons follow the coordinates.
Sites, in units of the cell vectors:
I 0.000 0.000 0.000  0.01
Sb 0.000 0.000 0.500  0.12
Te 0.000 0.500 0.000  -0.01
Te 0.500 0.000 0.000  -0.01
Mn 0.500 0.500 0.500  -4.61

***

6.
The following is a DFT calculation (GGA-PBE) of an optimized crystal structure of MnSbTe2I.

Computed properties:
E_tot = -17.81 eV per cell
energy above the lowest structure with this stoichiometry = 1.96 eV per formula unit
size of the total moment = 5.6 μB per formula unit
Fermi-level density of states = 0.72 states/eV/atom
uncorrected formation energy = 0.66 eV/atom

a = 5.804 Å, b = 5.804 Å, c = 5.878 Å
α = 90.00°, β = 90.00°, γ = 90.00°
Site moments in Bohr magnetons follow the coordinates.
Sites, in units of the cell vectors:
I 0.000 0.000 0.500  0.03
Sb 0.000 0.000 0.000  0.03
Te 0.000 0.500 0.000  0.01
Te 0.500 0.000 0.000  0.01
Mn 0.500 0.500 0.500  4.74

***

7.
The following is a DFT calculation (GGA-PBE) of an optimized crystal structure of MnSbTe2I.

Computed properties:
E_tot = -18.69 eV per cell
energy above the lowest structure with this stoichiometry = 1.08 eV per formula unit
size of the total moment = 0.0 μB per formula unit
Fermi-level density of states = 1.36 states/eV/atom
uncorrected formation energy = 0.49 eV/atom

a = 5.017 Å, b = 5.017 Å, c = 5.394 Å
α = 90.00°, β = 90.00°, γ = 90.00°
Sites, in units of the cell vectors:
I 0.000 0.000 0.500
Sb 0.500 0.500 0.500
Te 0.000 0.500 0.000
Te 0.500 0.000 0.000
Mn 0.000 0.000 0.000

***

8.
The following is a DFT calculation (GGA-PBE) of an optimized crystal structure of MnSbTe2I.

Computed properties:
E_tot = -19.77 eV per cell
energy above the lowest structure with this stoichiometry = 0.00 eV per formula unit
size of the total moment = 3.2 μB per formula unit
Fermi-level density of states = 1.12 states/eV/atom
uncorrected formation energy = 0.27 eV/atom

a = 5.173 Å, b = 5.173 Å, c = 5.373 Å
α = 90.00°, β = 90.00°, γ = 90.00°
Site moments in Bohr magnetons follow the coordinates.
Sites, in units of the cell vectors:
I 0.500 0.500 0.500  -0.08
Sb 0.000 0.000 0.500  -0.03
Te 0.000 0.500 0.000  0.03
Te 0.500 0.000 0.000  0.03
Mn 0.000 0.000 0.000  3.04

***

9.
The following is a DFT calculation (GGA-PBE) of an optimized crystal structure of TiMnSb2I.

Computed properties:
E_tot = -24.43 eV per cell
energy above the lowest structure with this stoichiometry = 0.00 eV per formula unit
size of the total moment = 5.4 μB per formula unit
Fermi-level density of states = 0.68 states/eV/atom
uncorrected formation energy = 0.49 eV/atom

a = 5.268 Å, b = 5.268 Å, c = 5.626 Å
α = 90.00°, β = 90.00°, γ = 90.00°
Site moments in Bohr magnetons follow the coordinates.
Sites, in units of the cell vectors:
I 0.000 0.000 0.500  0.02
Sb 0.000 0.500 0.000  -0.06
Sb 0.500 0.000 0.000  -0.06
Mn 0.500 0.500 0.500  4.56
Ti 0.000 0.000 0.000  0.36

***

10.
The following is a DFT calculation (GGA-PBE) of an optimized crystal structure of TiMnSbI2.

Computed properties:
E_tot = -22.42 eV per cell
energy above the lowest structure with this stoichiometry = 0.00 eV per formula unit
size of the total moment = 6.0 μB per formula unit
Fermi-level density of states = 0.65 states/eV/atom
uncorrected formation energy = 0.37 eV/atom

a = 5.461 Å, b = 5.461 Å, c = 5.549 Å
α = 90.00°, β = 90.00°, γ = 90.00°
Site moments in Bohr magnetons follow the coordinates.
Sites, in units of the cell vectors:
I 0.000 0.500 0.000  0.01
I 0.500 0.000 0.000  0.01
Sb 0.000 0.000 0.500  -0.13
Mn 0.500 0.500 0.500  4.63
Ti 0.000 0.000 0.000  0.83

***

11.
The following is a DFT calculation (GGA-PBE) of an optimized crystal structure of MnVSb2I.

Computed properties:
E_tot = -24.91 eV per cell
energy above the lowest structure with this stoichiometry = 0.00 eV per formula unit
size of the total moment = 6.2 μB per formula unit
Fermi-level density of states = 0.63 states/eV/atom
uncorrected formation energy = 0.63 eV/atom

a = 5.090 Å, b = 5.090 Å, c = 5.808 Å
α = 90.00°, β = 90.00°, γ = 90.00°
Site moments in Bohr magnetons follow the coordinates.
Sites, in units of the cell vectors:
I 0.000 0.000 0.500  0.01
Sb 0.000 0.500 0.000  -0.14
Sb 0.500 0.000 0.000  -0.14
Mn 0.500 0.500 0.500  4.53
V 0.000 0.000 0.000  1.50

***

12.
The following is a DFT calculation (GGA-PBE) of an optimized crystal structure of MnSbWI2.

Computed properties:
E_tot = -22.68 eV per cell
energy above the lowest structure with this stoichiometry = 1.35 eV per formula unit
size of the total moment = 2.8 μB per formula unit
Fermi-level density of states = 0.88 states/eV/atom
uncorrected formation energy = 1.33 eV/atom

a = 5.193 Å, b = 4.716 Å, c = 5.193 Å
α = 90.00°, β = 90.00°, γ = 90.00°
Site moments in Bohr magnetons follow the coordinates.
Sites, in units of the cell vectors:
I 0.000 0.000 0.500  0.01
I 0.500 0.000 0.000  0.01
Sb 0.500 0.500 0.500  -0.12
Mn 0.000 0.000 0.000  1.81
W 0.000 0.500 0.000  0.84

***

13.
The following is a DFT calculation (GGA-PBE) of an optimized crystal structure of MnSbWI2.

Computed properties:
E_tot = -24.04 eV per cell
energy above the lowest structure with this stoichiometry = 0.00 eV per formula unit
size of the total moment = 7.4 μB per formula unit
Fermi-level density of states = 0.77 states/eV/atom
uncorrected formation energy = 1.06 eV/atom

a = 5.647 Å, b = 5.647 Å, c = 5.291 Å
α = 90.00°, β = 90.00°, γ = 90.00°
Site moments in Bohr magnetons follow the coordinates.
Sites, in units of the cell vectors:
I 0.000 0.500 0.000  0.07
I 0.500 0.000 0.000  0.07
Sb 0.000 0.000 0.500  -0.11
Mn 0.500 0.500 0.500  4.66
W 0.000 0.000 0.000  1.63

***

14.
The following is a DFT calculation (GGA-PBE) of an optimized crystal structure of MnSb2WI.

Computed properties:
E_tot = -26.86 eV per cell
energy above the lowest structure with this stoichiometry = 0.00 eV per formula unit
size of the total moment = 4.5 μB per formula unit
Fermi-level density of states = 0.75 states/eV/atom
uncorrected formation energy = 1.01 eV/atom

a = 5.185 Å, b = 5.185 Å, c = 5.904 Å
α = 90.00°, β = 90.00°, γ = 90.00°
Site moments in Bohr magnetons follow the coordinates.
Sites, in units of the cell vectors:
I 0.000 0.000 0.500  0.05
Sb 0.000 0.500 0.000  -0.01
Sb 0.500 0.000 0.000  -0.01
Mn 0.500 0.500 0.500  4.56
W 0.000 0.000 0.000  -0.46

***

15.
The following is a DFT calculation (GGA-PBE) of an optimized crystal structure of MnSbW2I.

Computed properties:
E_tot = -29.97 eV per cell
size of the total moment = 1.3 μB per formula unit
Fermi-level density of states = 1.20 states/eV/atom
uncorrected formation energy = 2.15 eV/atom

a = 5.091 Å, b = 4.913 Å, c = 5.091 Å
α = 90.00°, β = 90.00°, γ = 90.00°
Site moments in Bohr magnetons follow the coordinates.
Sites, in units of the cell vectors:
I 0.500 0.500 0.500  -0.04
Sb 0.000 0.000 0.000  0.01
Mn 0.000 0.500 0.000  -3.71
W 0.000 0.000 0.500  1.07
W 0.500 0.000 0.000  0.98

***

16.
The following is a DFT calculation (GGA-PBE) of an optimized crystal structure of YMnSb2I.

Computed properties:
E_tot = -23.17 eV per cell
energy above the lowest structure with this stoichiometry = 1.36 eV per formula unit
size of the total moment = 4.7 μB per formula unit
Fermi-level density of states = 0.91 states/eV/atom
uncorrected formation energy = 0.45 eV/atom

a = 5.866 Å, b = 5.866 Å, c = 5.888 Å
α = 90.00°, β = 90.00°, γ = 90.00°
Site moments in Bohr magnetons follow the coordinates.
Sites, in units of the cell vectors:
I 0.000 0.000 0.500  -0.05
Sb 0.000 0.500 0.000  -0.11
Sb 0.500 0.000 0.000  -0.11
Mn 0.500 0.500 0.500  4.64
Y 0.000 0.000 0.000  0.04

***

17.
The following is a DFT calculation (GGA-PBE) of an optimized crystal structure of YMnSb2I.

Computed properties:
E_tot = -24.53 eV per cell
energy above the lowest structure with this stoichiometry = 0.00 eV per formula unit
size of the total moment = 0.0 μB per formula unit
Fermi-level density of states = 1.01 states/eV/atom
uncorrected formation energy = 0.18 eV/atom

a = 4.931 Å, b = 4.931 Å, c = 5.582 Å
α = 90.00°, β = 90.00°, γ = 90.00°
Sites, in units of the cell vectors:
I 0.000 0.000 0.500
Sb 0.000 0.500 0.000
Sb 0.500 0.000 0.000
Mn 0.000 0.000 0.000
Y 0.500 0.500 0.500

***

18.
The following is a DFT calculation (GGA-PBE) of an optimized crystal structure of MnZnSbI2.

Computed properties:
E_tot = -15.07 eV per cell
energy above the lowest structure with this stoichiometry = 0.00 eV per formula unit
size of the total moment = 0.0 μB per formula unit
Fermi-level density of states = 1.06 states/eV/atom
uncorrected formation energy = 0.52 eV/atom

a = 5.530 Å, b = 5.530 Å, c = 4.908 Å
α = 90.00°, β = 90.00°, γ = 90.00°
Site moments in Bohr magnetons follow the coordinates.
Sites, in units of the cell vectors:
I 0.000 0.500 0.000  0.02
I 0.500 0.000 0.000  0.02
Sb 0.000 0.000 0.500  0.04
Zn 0.500 0.500 0.500  0.00
Mn 0.000 0.000 0.000  -0.12

***

19.
The following is a DFT calculation (GGA-PBE) of an optimized crystal structure of MnZnSb2I.

Computed properties:
E_tot = -13.81 eV per cell
energy above the lowest structure with this stoichiometry = 4.27 eV per formula unit
size of the total moment = 0.5 μB per formula unit
Fermi-level density of states = 1.10 states/eV/atom
uncorrected formation energy = 1.29 eV/atom

a = 5.144 Å, b = 5.144 Å, c = 5.581 Å
α = 90.00°, β = 90.00°, γ = 90.00°
Site moments in Bohr magnetons follow the coordinates.
Sites, in units of the cell vectors:
I 0.000 0.000 0.500  0.04
Sb 0.000 0.500 0.000  0.06
Sb 0.500 0.000 0.000  0.06
Zn 0.000 0.000 0.000  0.01
Mn 0.500 0.500 0.500  0.12

***

20.
The following is a DFT calculation (GGA-PBE) of an optimized crystal structure of MnZnSb2I.

Computed properties:
E_tot = -18.08 eV per cell
energy above the lowest structure with this stoichiometry = 0.00 eV per formula unit
size of the total moment = 1.9 μB per formula unit
Fermi-level density of states = 0.59 states/eV/atom
uncorrected formation energy = 0.43 eV/atom

a = 5.011 Å, b = 5.011 Å, c = 5.824 Å
α = 90.00°, β = 90.00°, γ = 90.00°
Site moments in Bohr magnetons follow the coordinates.
Sites, in units of the cell vectors:
I 0.000 0.000 0.500  -0.09
Sb 0.000 0.500 0.000  -0.18
Sb 0.500 0.000 0.000  -0.18
Zn 0.500 0.500 0.500  -0.04
Mn 0.000 0.000 0.000  2.69